(1)
# Pm2HgAu4 (GGA-PBE, optimized geometry)
# Crystal system: trigonal
# Formation energy from the elements: -0.56 eV per atom
# Total magnetization: 0.000 μB/f.u.
# V: 487.2 Å³ per cell
data_Pm2HgAu4
_cell_length_a 5.0923
_cell_length_b 5.0923
_cell_length_c 21.6930
_cell_angle_alpha 90.00
_cell_angle_beta 90.00
_cell_angle_gamma 120.00
_symmetry_space_group_name_H-M 'R -3 m'
_symmetry_Int_Tables_number 166
_symmetry_space_group_name_Hall '-R 3 2"'
loop_
_atom_site_label
_atom_site_fract_x
_atom_site_fract_y
_atom_site_fract_z
Pm1 0.0000 0.0000 0.2306
Hg1 0.0000 0.0000 0.5000
Au1 0.0000 0.0000 0.0775
Au2 0.0000 0.0000 0.3671

---

(2)
# Tm4AlCd3 (GGA-PBE, optimized geometry)
# Crystal system: tetragonal
# Relative energy among the computed polymorphs: 0 meV/atom
# Formation energy from the elements: -0.33 eV per atom
# Total magnetization: 0.000 μB/f.u.
# V: 196.5 Å³ per cell
data_Tm4AlCd3
_cell_length_a 3.641
_cell_length_b 3.641
_cell_length_c 14.817
_cell_angle_alpha 90.00
_cell_angle_beta 90.00
_cell_angle_gamma 90.00
_symmetry_space_group_name_H-M 'P 4/m m m'
_symmetry_Int_Tables_number 123
_symmetry_space_group_name_Hall '-P 4 2'
loop_
_atom_site_label
_atom_site_fract_x
_atom_site_fract_y
_atom_site_fract_z
Tm1 0.000 0.000 0.118
Tm2 0.000 0.000 0.372
Al1 0.500 0.500 0.000
Cd1 0.500 0.500 0.245
Cd2 0.500 0.500 0.500

---

(3)
# Ag3SCl (GGA-PBE, optimized geometry)
# Crystal system: monoclinic
# Energy relative to the elements, uncorrected: -0.18 eV/atom
# Total magnetization: 0.000 μB/f.u.
# V: 466.3 Å³ per cell
data_Ag3SCl
_cell_length_a 8.891
_cell_length_b 5.853
_cell_length_c 8.969
_cell_angle_alpha 90.00
_cell_angle_beta 92.47
_cell_angle_gamma 90.00
_symmetry_space_group_name_H-M 'P 1 21/c 1'
_symmetry_Int_Tables_number 14
loop_
_symmetry_equiv_pos_as_xyz
'x,y,z'
'-x,-y,-z'
'-x,y+1/2,-z+1/2'
'x,-y+1/2,z+1/2'
loop_
_atom_site_label
_atom_site_fract_x
_atom_site_fract_y
_atom_site_fract_z
Ag1 0.017 0.014 0.229
Ag2 0.156 0.706 0.005
Ag3 0.317 0.022 0.800
S1 0.133 0.246 0.432
Cl1 0.420 0.743 0.623

---

Q: What is the formula in the third record?
A: Ag3SCl